Entry 1:
BeTl2Zn at its PBEsol-relaxed geometry. Source: Alexandria, functional SCAN.

a b c (Å): 4.0533 5.0616 5.0616
angles (deg): 61.68 66.40 66.40
Positions (direct):
Be  0.0000  0.5000  0.5000
Tl  0.2708  0.7292  0.7292
Tl  0.7292  0.2708  0.2708
Zn  0.5000  0.0000  0.0000

Output
* E: -40.106 eV/atom
* relative energy among the computed polymorphs: 0.226 eV/atom
* E_form: 540 meV/atom


Entry 2:
Zr2BeTl at its PBEsol-relaxed geometry. Source: Alexandria, functional SCAN.

a b c (Å): 3.0205 3.0205 8.1437
angles (deg): 90.00 90.00 90.03
Positions (direct):
Be  0.5000  0.5000  0.2500
Tl  0.5000  0.5000  0.7500
Zr  0.0000  0.0000  0.0441
Zr  0.0000  0.0000  0.4559

Output
* E: -34.662 eV/atom
* relative energy among the computed polymorphs: 0.000 eV/atom
* E_form: -135 meV/atom


Entry 3:
ZrBeTl2 at its PBEsol-relaxed geometry. Source: Alexandria, functional SCAN.

a b c (Å): 4.8788 4.8788 4.8788
angles (deg): 60.00 60.00 60.00
Positions (direct):
Be  0.0000  0.0000  0.0000
Tl  0.7500  0.7500  0.7500
Tl  0.2500  0.2500  0.2500
Zr  0.5000  0.5000  0.5000

Output
* E: -44.467 eV/atom
* relative energy among the computed polymorphs: 0.187 eV/atom
* E_form: 476 meV/atom


Entry 4:
Zr2BeTl at its PBEsol-relaxed geometry. Source: Alexandria, functional SCAN.

a b c (Å): 4.7699 4.7699 4.7699
angles (deg): 60.00 60.00 60.00
Positions (direct):
Be  0.0000  0.0000  0.0000
Tl  0.5000  0.5000  0.5000
Zr  0.2500  0.2500  0.2500
Zr  0.7500  0.7500  0.7500

Output
* E: -34.518 eV/atom
* relative energy among the computed polymorphs: 0.145 eV/atom
* E_form: 10 meV/atom


Entry 5:
ZrBeTl2 at its PBEsol-relaxed geometry. Source: Alexandria, functional SCAN.

a b c (Å): 3.1979 3.1979 9.2955
angles (deg): 80.10 80.10 60.00
Positions (direct):
Be  0.0000  0.0000  0.0000
Tl  0.2605  0.2605  0.2184
Tl  0.7395  0.7395  0.7816
Zr  0.5000  0.5000  0.5000

Output
* E: -44.654 eV/atom
* relative energy among the computed polymorphs: 0.000 eV/atom
* E_form: 289 meV/atom


Entry 6:
UBe13 at its PBEsol-relaxed geometry. Source: Alexandria, functional SCAN.

a b c (Å): 7.1573 7.1573 7.1573
angles (deg): 60.00 60.00 60.00
Last column: magnetic moment on the atom in μB.
Positions (direct):
U  0.2500  0.2500  0.2500  2.35
U  0.7500  0.7500  0.7500  2.35
Be  0.4400  0.7921  0.5600  0.00
Be  0.7921  0.4400  0.2079  0.00
Be  0.5000  0.5000  0.5000  0.14
Be  0.0000  0.0000  0.0000  0.14
Be  0.2079  0.5600  0.7921  0.00
Be  0.7079  0.0600  0.9400  0.00
Be  0.0600  0.7079  0.2921  0.00
Be  0.0600  0.2921  0.9400  0.00
Be  0.9400  0.7079  0.0600  0.00
Be  0.7079  0.2921  0.0600  0.00
Be  0.9400  0.0600  0.2921  0.00
Be  0.2079  0.7921  0.4400  0.00
Be  0.2079  0.4400  0.5600  0.00
Be  0.5600  0.7921  0.2079  0.00
Be  0.7921  0.2079  0.5600  0.00
Be  0.4400  0.5600  0.2079  0.00
Be  0.7921  0.5600  0.4400  0.00
Be  0.5600  0.4400  0.7921  0.00
Be  0.4400  0.2079  0.7921  0.00
Be  0.7079  0.9400  0.2921  0.00
Be  0.9400  0.2921  0.7079  0.00
Be  0.0600  0.9400  0.7079  0.00
Be  0.2921  0.7079  0.9400  0.00
Be  0.2921  0.9400  0.0600  0.00
Be  0.2921  0.0600  0.7079  0.00
Be  0.5600  0.2079  0.4400  0.00

Output
* E: -11.474 eV/atom
* E_form: -36 meV/atom


Entry 7:
Be2V at its PBEsol-relaxed geometry. Source: Alexandria, functional SCAN.

a b c (Å): 4.3285 4.3285 6.9846
angles (deg): 90.00 90.00 120.00
Positions (direct):
Be  0.0000  0.0000  0.5000
Be  0.0000  0.0000  0.0000
Be  0.3428  0.1714  0.2500
Be  0.1714  0.8286  0.7500
Be  0.1714  0.3428  0.7500
Be  0.8286  0.6572  0.2500
Be  0.8286  0.1714  0.2500
Be  0.6572  0.8286  0.7500
V  0.3333  0.6667  0.4326
V  0.6667  0.3333  0.9326
V  0.6667  0.3333  0.5674
V  0.3333  0.6667  0.0674

Output
* E: -8.947 eV/atom
* E_form: -215 meV/atom


Entry 8:
Be12V at its PBEsol-relaxed geometry. Source: Alexandria, functional SCAN.

a b c (Å): 4.1318 5.4801 5.4801
angles (deg): 81.83 67.85 67.85
Last column: magnetic moment on the atom in μB.
Positions (direct):
Be  0.2889  0.2111  0.2111  -0.01
Be  0.0000  0.3488  0.6512  -0.01
Be  0.3488  0.6512  0.6512  -0.01
Be  0.6512  0.3488  0.3488  -0.01
Be  0.5000  0.2111  0.7889  -0.01
Be  0.5000  0.0000  0.5000  -0.02
Be  0.7111  0.7889  0.7889  -0.01
Be  0.0000  0.6512  0.3488  -0.01
Be  0.5000  0.7889  0.2111  -0.01
Be  0.0000  0.5000  0.0000  -0.02
Be  0.5000  0.5000  0.0000  -0.02
Be  0.0000  0.0000  0.5000  -0.02
V  0.0000  0.0000  0.0000  0.83

Output
* E: -5.454 eV/atom
* E_form: -91 meV/atom